Record 1
# LiTlAu2O4

Crystalline LiTlAu2O4 at its relaxed geometry (PBE, Alexandria).

The structure in extended XYZ format:
```
16
Lattice="5.907 0.000 0.000 0.000 5.907 0.000 0.000 0.000 6.361" Properties=species:S:1:pos:R:3 pbc="T T T"
Li 0.000 0.000 0.000
Li 2.953 2.953 3.181
Tl 0.000 0.000 3.181
Tl 2.953 2.953 0.000
Au 0.000 2.953 1.590
Au 0.000 2.953 4.771
Au 2.953 0.000 1.590
Au 2.953 0.000 4.771
O 1.038 1.038 4.860
O 1.038 4.869 1.501
O 1.916 1.916 1.679
O 1.916 3.991 4.682
O 3.991 1.916 4.682
O 3.991 3.991 1.679
O 4.869 1.038 1.501
O 4.869 4.869 4.860
```

E_form (uncorrected), meV per atom: -479
Raw total energy, eV per atom: -4.3124
SG: I-42m (121)

Record 2
# Li3Tl2AuO6

Crystalline Li3Tl2AuO6 at its relaxed geometry (PBE, Alexandria).

The structure in extended XYZ format:
```
12
Lattice="2.857 -4.992 0.000 2.857 4.992 0.000 -1.721 0.000 5.096" Properties=species:S:1:pos:R:3 pbc="T T T"
Li 0.000 0.000 0.000
Li 2.857 1.578 0.000
Li 2.857 -1.578 0.000
Tl 1.996 3.279 2.548
Tl 1.996 -3.279 2.548
Au 1.996 0.000 2.548
O 0.917 1.662 1.202
O 0.350 0.000 3.748
O 0.917 -1.662 1.202
O 3.076 1.662 3.894
O 3.643 0.000 1.347
O 3.076 -1.662 3.894
```

E_form (uncorrected), meV per atom: -917
Raw total energy, eV per atom: -4.5418
SG: C2/m (12)

Record 3
# Li3Tm2AuO6

Crystalline Li3Tm2AuO6 at its relaxed geometry (PBE, Alexandria).

The structure in extended XYZ format:
```
12
Lattice="2.789 -4.937 0.000 2.789 4.937 0.000 -1.624 0.000 5.155" Properties=species:S:1:pos:R:3 pbc="T T T"
Li 0.000 0.000 0.000
Li 2.789 1.692 0.000
Li 2.789 -1.692 0.000
Tm 1.977 3.243 2.578
Tm 1.977 -3.243 2.578
Au 1.977 0.000 2.578
O 0.951 1.753 1.255
O 0.245 0.000 3.701
O 0.951 -1.753 1.255
O 3.002 1.753 3.900
O 3.708 0.000 1.454
O 3.002 -1.753 3.900
```

E_form (uncorrected), meV per atom: -2116
Raw total energy, eV per atom: -6.0921
SG: C2/m (12)

> Which value of E_form (uncorrected) does entry 3 give?

-2116 meV per atom

> raw total energy of number 2 (Li3Tl2AuO6)?

-4.5418 eV per atom